1.
# TaOs2Pb

A relaxed TaOs2Pb crystal (GGA-PBE, the Alexandria database).

For the formation enthalpy at 0 K, the calculation gives 0.51 eV per atom. The density comes out at 18.4 Mg/m³. The value obtained for the total magnetization is 0.000 μB/atom. For the density of states at the Fermi level, the calculation gives 0.378 states/eV per atom.

Lattice parameters (Å, degrees): 6.1462 7.1156 3.1672 90.00 90.00 90.00
Space group Cmmm (No. 65)
Asymmetric unit:
Ta 0.0000 0.0000 0.0000 [2 per cell]
Os 0.2500 0.2500 0.5000 [4 per cell]
Pb 0.0000 0.5000 0.0000 [2 per cell]

2.
# TaOsPb2

A relaxed TaOsPb2 crystal (GGA-PBE, the Alexandria database).

The polymorph energy (0 for the lowest one) comes out at 0.807 eV/atom. For the formation enthalpy at 0 K, the calculation gives 0.99 eV per atom. The density comes out at 15.6 Mg/m³. The value obtained for the total magnetization is 0.000 μB/atom. For the density of states at the Fermi level, the calculation gives 1.010 states/eV per atom.

Lattice parameters (Å, degrees): 3.3097 5.3919 9.3522 90.00 90.00 90.00
Space group Cmmm (No. 65)
Asymmetric unit:
Ta 0.0000 0.0000 0.0000 [2 per cell]
Os 0.0000 0.0000 0.5000 [2 per cell]
Pb 0.0000 0.5000 0.2628 [4 per cell]

3.
# TaOs3Pb

A relaxed TaOs3Pb crystal (GGA-PBE, the Alexandria database).

The polymorph energy (0 for the lowest one) comes out at 0.000 eV/atom. For the formation enthalpy at 0 K, the calculation gives 1.98 eV per atom. The density comes out at 14.1 Mg/m³. The value obtained for the total magnetization is 0.107 μB/atom. For the density of states at the Fermi level, the calculation gives 1.616 states/eV per atom.

Lattice parameters (Å, degrees): 4.8350 4.8350 4.8350 90.00 90.00 90.00
Space group Pm-3m (No. 221)
Asymmetric unit:
Ta 0.0000 0.0000 0.0000 [1 per cell]
Os 0.0000 0.0000 0.5000 [3 per cell]
Pb 0.5000 0.5000 0.5000 [1 per cell]

4.
# TaOs4Pb

A relaxed TaOs4Pb crystal (GGA-PBE, the Alexandria database).

For the formation enthalpy at 0 K, the calculation gives 0.59 eV per atom. The density comes out at 18.6 Mg/m³. The value obtained for the total magnetization is 0.000 μB/atom. For the density of states at the Fermi level, the calculation gives 1.189 states/eV per atom.

Lattice parameters (Å, degrees): 7.4267 7.4267 7.4267 90.00 90.00 90.00
Space group F-43m (No. 216)
Asymmetric unit:
Ta 0.0000 0.0000 0.0000 [4 per cell]
Os 0.1251 0.1251 0.3749 [16 per cell]
Pb 0.2500 0.2500 0.7500 [4 per cell]

5.
# TaOs2Pb

A relaxed TaOs2Pb crystal (GGA-PBE, the Alexandria database).

For the formation enthalpy at 0 K, the calculation gives 0.30 eV per atom. The density comes out at 17.6 Mg/m³. The value obtained for the total magnetization is 0.000 μB/atom. For the density of states at the Fermi level, the calculation gives 0.584 states/eV per atom.

Lattice parameters (Å, degrees): 3.1963 3.1963 7.0932 90.00 90.00 90.00
Space group P4/mmm (No. 123)
Asymmetric unit:
Ta 0.0000 0.0000 0.0000 [1 per cell]
Os 0.5000 0.5000 0.2116 [2 per cell]
Pb 0.0000 0.0000 0.5000 [1 per cell]

6.
# TaOsPb2

A relaxed TaOsPb2 crystal (GGA-PBE, the Alexandria database).

The polymorph energy (0 for the lowest one) comes out at 0.169 eV/atom. For the formation enthalpy at 0 K, the calculation gives 0.36 eV per atom. The density comes out at 13.1 Mg/m³. The value obtained for the total magnetization is 0.000 μB/atom. For the density of states at the Fermi level, the calculation gives 0.730 states/eV per atom.

Lattice parameters (Å, degrees): 3.2665 3.2665 32.4281 90.00 90.00 120.00
Space group R3m (No. 160, hexagonal axes)
Asymmetric unit:
Ta 0.0000 0.0000 0.0000 [3 per cell]
Os 0.0000 0.0000 0.2823 [3 per cell]
Pb 0.0000 0.0000 0.5347 [3 per cell]
Pb 0.0000 0.0000 0.7525 [3 per cell]

> density of number 2 (TaOsPb2)?

15.6 Mg/m³

> What is the total magnetization in the fifth record?

0.000 μB/atom

> Among the records above, which one has the lowest density?

number 6